The following is a GGA+U calculation of an optimized crystal structure of KRb2Fe2F7, from Alexandria via LeMat-Bulk.

The calculation puts the total magnetization at 32.0 μB/cell. For the calculated total energy, the calculation gives -236.56 eV per cell.

It has space group Fmmm (No. 69), with a = 5.841 Å, b = 6.013 Å, c = 22.579 Å, α = 90.00°, β = 90.00° and γ = 90.00°. Symmetry generates all atoms from K at (0.000, 0.000, 0.000), Rb at (0.000, 0.000, 0.186), Fe at (0.000, 0.000, 0.406), F at (0.000, 0.000, 0.312), F at (0.000, 0.000, 0.500) and F at (0.250, 0.250, 0.092).